# CoCu2BiPb, single point on PBEsol structure, DFT SCAN
# M_tot	2.1	μB/f.u.
# density	7.052	g/cm³
# DOS(E_F)	1.82	states/eV per cell
# volume	28.4	A^3/atom
# VASP energy	-196.297	eV/cell
data_CoCu2BiPb
_cell_length_a 4.765
_cell_length_b 4.765
_cell_length_c 6.246
_cell_angle_alpha 90.00
_cell_angle_beta 90.00
_cell_angle_gamma 90.00
_space_group_name_H-M_alt 'P 4/m m m'
_space_group_IT_number 123
_space_group_name_Hall '-P 4 2'
loop_
_atom_site_label
_atom_site_type_symbol
_atom_site_fract_x
_atom_site_fract_y
_atom_site_fract_z
Co1 Co 0.000 0.000 0.000
Cu1 Cu 0.000 0.500 0.500
Bi1 Bi 0.500 0.500 0.500
Pb1 Pb 0.500 0.500 0.000